The following is a DFT calculation (GGA+U) of VCuO4 after structural relaxation.

Values from the calculation:
Symmetry: No. 12
Electronic total energy: -6.346 eV/atom
Crystal system: monoclinic

Cell lengths 2.7883, 6.2552, 8.3570 Å; angles 84.92, 90.00, 90.00 degrees
With the nearest neighbours (Å) after each atom.
Fractional positions:
1 O 0.5000 0.0385 0.8522  2 V 1.86
2 O 0.5000 0.1924 0.4666  2 Cu 1.85, 1 V 1.97
3 O 0.0000 0.4615 0.6478  2 V 1.86
4 O 0.5000 0.9615 0.1478  2 V 1.86
5 O 0.5000 0.8076 0.5334  2 Cu 1.85, 1 V 1.97
6 O 0.0000 0.3076 0.0334  2 Cu 1.85, 1 V 1.97
7 O 0.0000 0.6924 0.9666  2 Cu 1.85, 1 V 1.97
8 O 0.0000 0.5385 0.3522  2 V 1.86
9 V 0.5000 0.5000 0.5000  6 O 1.86-1.97
10 V 0.0000 0.0000 0.0000  6 O 1.86-1.97
11 Cu 0.5000 0.5000 0.0000  4 O 1.85
12 Cu 0.0000 0.0000 0.5000  4 O 1.85